Material: Li2CuSi2Pt5
Method: DFT, GGA-PBE
State: relaxed

Unit cell a=9.265 b=9.265 c=3.502 alpha=90.00 beta=90.00 gamma=90.00
Space group P4/mbm (No. 127)
Inequivalent atoms, fractional coordinates:
Li1 0.168 0.332 0.000 x4
Cu1 0.000 0.000 0.000 x2
Si1 0.134 0.634 0.000 x4
Pt1 0.000 0.500 0.500 x2
Pt2 0.073 0.799 0.500 x8

Summary:
- ΔE_f (raw): -636.4 meV/atom
- DOS(E_F): 5.1 states/eV per cell
- Energy: -5.5337 eV per atom